Record 1
# PrMg4Au5, optimized geometry, DFT PBE-GGA
# formation energy	-623.9	meV/atom
data_PrMg4Au5
_symmetry_space_group_name_H-M 'P 4/m m m'
_symmetry_Int_Tables_number 123
_symmetry_space_group_name_Hall '-P 4 2'
_cell_length_a 3.415
_cell_length_b 3.415
_cell_length_c 16.778
_cell_angle_alpha 90.00
_cell_angle_beta 90.00
_cell_angle_gamma 90.00
loop_
_atom_site_label
_atom_site_type_symbol
_atom_site_fract_x
_atom_site_fract_y
_atom_site_fract_z
_atom_site_occupancy
Pr1 Pr 0.000 0.000 0.000 1
Mg1 Mg 0.000 0.000 0.218 1
Mg2 Mg 0.000 0.000 0.407 1
Au1 Au 0.500 0.500 0.128 1
Au2 Au 0.500 0.500 0.313 1
Au3 Au 0.500 0.500 0.500 1

Record 2
# PuMg2SbN4, optimized geometry, DFT PBE-GGA
# ΔE_f (raw)	-0.452	eV/atom
data_PuMg2SbN4
_symmetry_space_group_name_H-M 'P 1 2/m 1'
_symmetry_Int_Tables_number 10
_cell_length_a 5.575
_cell_length_b 3.359
_cell_length_c 5.889
_cell_angle_alpha 90.00
_cell_angle_beta 109.90
_cell_angle_gamma 90.00
loop_
_symmetry_equiv_pos_as_xyz
'x,y,z'
'-x,-y,-z'
'-x,y,-z'
'x,-y,z'
loop_
_atom_site_label
_atom_site_type_symbol
_atom_site_fract_x
_atom_site_fract_y
_atom_site_fract_z
_atom_site_occupancy
Pu1 Pu 0.000 0.000 0.000 1
Mg1 Mg 0.500 0.000 0.500 1
Mg2 Mg 0.500 0.500 0.000 1
Sb1 Sb 0.000 0.500 0.500 1
N1 N 0.242 0.000 0.778 1
N2 N 0.251 0.500 0.247 1

Record 3
# KSrEuIn, optimized geometry, DFT PBE-GGA
# formation energy	-81.1	meV/atom
data_KSrEuIn
_symmetry_space_group_name_H-M 'F -4 3 m'
_symmetry_Int_Tables_number 216
_symmetry_space_group_name_Hall 'F -4 2 3'
_cell_length_a 8.495
_cell_length_b 8.495
_cell_length_c 8.495
_cell_angle_alpha 90.00
_cell_angle_beta 90.00
_cell_angle_gamma 90.00
loop_
_atom_site_label
_atom_site_type_symbol
_atom_site_fract_x
_atom_site_fract_y
_atom_site_fract_z
_atom_site_occupancy
K1 K 0.000 0.000 0.000 1
Sr1 Sr 0.250 0.250 0.750 1
Eu1 Eu 0.250 0.250 0.250 1
In1 In 0.000 0.000 0.500 1

Record 4
# Er2ScZn, optimized geometry, DFT PBE-GGA
# relative energy among the computed polymorphs	0.00	eV/f.u.
# formation energy	-148.7	meV/atom
data_Er2ScZn
_symmetry_space_group_name_H-M 'P 4/m m m'
_symmetry_Int_Tables_number 123
_symmetry_space_group_name_Hall '-P 4 2'
_cell_length_a 3.483
_cell_length_b 3.483
_cell_length_c 8.229
_cell_angle_alpha 90.00
_cell_angle_beta 90.00
_cell_angle_gamma 90.00
loop_
_atom_site_label
_atom_site_type_symbol
_atom_site_fract_x
_atom_site_fract_y
_atom_site_fract_z
_atom_site_occupancy
Er1 Er 0.000 0.000 0.218 1
Sc1 Sc 0.500 0.500 0.500 1
Zn1 Zn 0.500 0.500 0.000 1

Record 5
# CaDy2ErHg4, optimized geometry, DFT PBE-GGA
# formation energy	-512.2	meV/atom
data_CaDy2ErHg4
_symmetry_space_group_name_H-M 'R -3 m'
_symmetry_Int_Tables_number 166
_symmetry_space_group_name_Hall '-R 3 2"'
_cell_length_a 5.2577
_cell_length_b 5.2577
_cell_length_c 25.7778
_cell_angle_alpha 90.00
_cell_angle_beta 90.00
_cell_angle_gamma 120.00
loop_
_atom_site_label
_atom_site_type_symbol
_atom_site_fract_x
_atom_site_fract_y
_atom_site_fract_z
_atom_site_occupancy
Ca1 Ca 0.0000 0.0000 0.0000 1
Dy1 Dy 0.0000 0.0000 0.2511 1
Er1 Er 0.0000 0.0000 0.5000 1
Hg1 Hg 0.0000 0.0000 0.1265 1
Hg2 Hg 0.0000 0.0000 0.3767 1

Record 6
# KGeBr3, optimized geometry, DFT PBE-GGA
# ΔE_f (raw)	-1.018	eV/atom
data_KGeBr3
_symmetry_space_group_name_H-M 'P 1'
_symmetry_Int_Tables_number 1
_cell_length_a 4.961
_cell_length_b 9.017
_cell_length_c 9.092
_cell_angle_alpha 86.68
_cell_angle_beta 81.04
_cell_angle_gamma 82.92
loop_
_symmetry_equiv_pos_as_xyz
'x,y,z'
loop_
_atom_site_label
_atom_site_type_symbol
_atom_site_fract_x
_atom_site_fract_y
_atom_site_fract_z
_atom_site_occupancy
K1 K 0.000 0.000 0.000 1
K2 K 0.426 0.288 0.451 1
Ge1 Ge 0.723 0.862 0.583 1
Ge2 Ge 0.911 0.549 0.110 1
Br1 Br 0.003 0.030 0.390 1
Br2 Br 0.092 0.744 0.727 1
Br3 Br 0.528 0.762 0.122 1
Br4 Br 0.551 0.086 0.755 1
Br5 Br 0.622 0.338 0.085 1
Br6 Br 0.889 0.526 0.394 1

Record 7
# Tb4Pm3Pr, optimized geometry, DFT PBE-GGA
# relative energy among the computed polymorphs	0.10	eV/f.u.
# formation energy	27.7	meV/atom
data_Tb4Pm3Pr
_symmetry_space_group_name_H-M 'P m n 21'
_symmetry_Int_Tables_number 31
_cell_length_a 11.623
_cell_length_b 7.336
_cell_length_c 6.331
_cell_angle_alpha 90.00
_cell_angle_beta 90.00
_cell_angle_gamma 90.00
loop_
_symmetry_equiv_pos_as_xyz
'x,y,z'
'-x+1/2,-y,z+1/2'
'-x,y,z'
'x+1/2,-y,z+1/2'
loop_
_atom_site_label
_atom_site_type_symbol
_atom_site_fract_x
_atom_site_fract_y
_atom_site_fract_z
_atom_site_occupancy
Tb1 Tb 0.000 0.122 0.000 1
Tb2 Tb 0.000 0.878 0.500 1
Tb3 Tb 0.249 0.123 0.333 1
Pm1 Pm 0.000 0.373 0.499 1
Pm2 Pm 0.250 0.373 0.833 1
Pr1 Pr 0.000 0.626 0.999 1

Record 8
# NaTl3P2O6, optimized geometry, DFT PBE-GGA
# ΔE_f (raw)	-1.455	eV/atom
data_NaTl3P2O6
_symmetry_space_group_name_H-M 'P -3 m 1'
_symmetry_Int_Tables_number 164
_symmetry_space_group_name_Hall '-P 3 2"'
_cell_length_a 6.1141
_cell_length_b 6.1141
_cell_length_c 6.8250
_cell_angle_alpha 90.00
_cell_angle_beta 90.00
_cell_angle_gamma 120.00
loop_
_atom_site_label
_atom_site_type_symbol
_atom_site_fract_x
_atom_site_fract_y
_atom_site_fract_z
_atom_site_occupancy
Na1 Na 0.0000 0.0000 0.0000 1
Tl1 Tl 0.0000 0.0000 0.5000 1
Tl2 Tl 0.3333 0.6667 0.2330 1
P1 P 0.3333 0.6667 0.7308 1
O1 O 0.1924 0.3848 0.7889 1

Record 9
# Ba3CdSb3, optimized geometry, DFT PBE-GGA
# ΔE_f (raw)	-0.843	eV/atom
data_Ba3CdSb3
_symmetry_space_group_name_H-M 'C m c e'
_symmetry_Int_Tables_number 64
_symmetry_space_group_name_Hall '-C 2ac 2'
_cell_length_a 21.659
_cell_length_b 7.313
_cell_length_c 14.445
_cell_angle_alpha 90.00
_cell_angle_beta 90.00
_cell_angle_gamma 90.00
loop_
_atom_site_label
_atom_site_type_symbol
_atom_site_fract_x
_atom_site_fract_y
_atom_site_fract_z
_atom_site_occupancy
Ba1 Ba 0.000 0.201 0.144 1
Ba2 Ba 0.173 0.206 0.870 1
Cd1 Cd 0.085 0.000 0.500 1
Sb1 Sb 0.000 0.223 0.390 1
Sb2 Sb 0.162 0.216 0.622 1

Record 10
# SrLi3Hg, optimized geometry, DFT PBE-GGA
# relative energy among the computed polymorphs	0.39	eV/f.u.
# formation energy	-120.9	meV/atom
data_SrLi3Hg
_symmetry_space_group_name_H-M 'P m -3 m'
_symmetry_Int_Tables_number 221
_symmetry_space_group_name_Hall '-P 4 2 3'
_cell_length_a 5.175
_cell_length_b 5.175
_cell_length_c 5.175
_cell_angle_alpha 90.00
_cell_angle_beta 90.00
_cell_angle_gamma 90.00
loop_
_atom_site_label
_atom_site_type_symbol
_atom_site_fract_x
_atom_site_fract_y
_atom_site_fract_z
_atom_site_occupancy
Sr1 Sr 0.000 0.000 0.000 1
Li1 Li 0.000 0.500 0.500 1
Hg1 Hg 0.500 0.500 0.500 1

Record 11
# Be2Ni4P, optimized geometry, DFT PBE-GGA
# formation energy	-338.0	meV/atom
data_Be2Ni4P
_symmetry_space_group_name_H-M 'I 4/m m m'
_symmetry_Int_Tables_number 139
_symmetry_space_group_name_Hall '-I 4 2'
_cell_length_a 5.252
_cell_length_b 5.252
_cell_length_c 5.235
_cell_angle_alpha 90.00
_cell_angle_beta 90.00
_cell_angle_gamma 90.00
loop_
_atom_site_label
_atom_site_type_symbol
_atom_site_fract_x
_atom_site_fract_y
_atom_site_fract_z
_atom_site_occupancy
Be1 Be 0.000 0.500 0.000 1
Ni1 Ni 0.250 0.250 0.250 1
P1 P 0.000 0.000 0.000 1

Record 12
# Rb2CuPbBr6, optimized geometry, DFT PBE-GGA
# relative energy among the computed polymorphs	0.03	eV/f.u.
# ΔE_f (raw)	-1.041	eV/atom
data_Rb2CuPbBr6
_symmetry_space_group_name_H-M 'I 4/m m m'
_symmetry_Int_Tables_number 139
_symmetry_space_group_name_Hall '-I 4 2'
_cell_length_a 7.817
_cell_length_b 7.817
_cell_length_c 11.132
_cell_angle_alpha 90.00
_cell_angle_beta 90.00
_cell_angle_gamma 90.00
loop_
_atom_site_label
_atom_site_type_symbol
_atom_site_fract_x
_atom_site_fract_y
_atom_site_fract_z
_atom_site_occupancy
Rb1 Rb 0.000 0.500 0.250 1
Cu1 Cu 0.000 0.000 0.000 1
Pb1 Pb 0.000 0.000 0.500 1
Br1 Br 0.000 0.000 0.237 1
Br2 Br 0.235 0.235 0.000 1

Question: Number 6 is which compound?
Answer: KGeBr3